1.
Entry from Alexandria: YFe2Pb after structural relaxation (PBE).

```
16
Lattice="6.773 0.000 0.000 0.000 6.773 0.000 0.000 0.000 6.773" Properties=species:S:1:pos:R:3 pbc="T T T"
Y 0.000 0.000 0.000
Y 0.000 3.387 3.387
Y 3.387 0.000 3.387
Y 3.387 3.387 0.000
Fe 0.000 0.000 3.387
Fe 0.000 3.387 0.000
Fe 1.693 1.693 5.080
Fe 1.693 5.080 1.693
Fe 3.387 0.000 0.000
Fe 3.387 3.387 3.387
Fe 5.080 1.693 1.693
Fe 5.080 5.080 5.080
Pb 1.693 1.693 1.693
Pb 1.693 5.080 5.080
Pb 5.080 1.693 5.080
Pb 5.080 5.080 1.693
```

Summary:
- Space-group type: F-43m (216)
- E: -0.477 Ry/atom
- Formation energy: 0.288 eV/atom

---

2.
Entry from Alexandria: BaAl4Br after structural relaxation (PBE).

```
6
Lattice="0.000 4.225 4.225 4.225 0.000 4.225 4.225 4.225 0.000" Properties=species:S:1:pos:R:3 pbc="T T T"
Ba 0.000 0.000 0.000
Al 3.158 3.158 3.158
Al 5.291 5.291 3.158
Al 5.291 3.158 5.291
Al 3.158 5.291 5.291
Br 6.337 6.337 6.337
```

Summary:
- Space-group type: F-43m (216)
- E: -0.229 Ry/atom

---

3.
Entry from Alexandria: Ti4GeH after structural relaxation (PBE).

```
12
Lattice="5.125 0.000 0.000 0.000 6.738 0.000 -1.145 0.000 4.996" Properties=species:S:1:pos:R:3 pbc="T T T"
Ti 0.402 1.249 0.894
Ti -0.171 2.120 3.392
Ti 0.563 4.294 4.957
Ti 1.136 5.813 2.459
Ti 2.843 0.925 2.537
Ti 3.416 2.444 0.039
Ti 4.151 4.619 1.604
Ti 3.578 5.489 4.102
Ge 2.562 0.000 0.000
Ge 1.990 3.369 2.498
H -0.573 0.000 2.498
H 0.000 3.369 0.000
```

Summary:
- Space-group type: P2_1/c (14)
- E: -0.496 Ry/atom

---

4.
Entry from Alexandria: Li2Ga3Ge after structural relaxation (PBE).

```
12
Lattice="0.000 4.289 8.024 3.018 0.000 8.024 3.018 4.289 0.000" Properties=species:S:1:pos:R:3 pbc="T T T"
Li 1.509 2.145 4.012
Li 4.524 4.289 8.024
Li 1.511 4.289 8.024
Li 4.527 6.434 12.035
Ga 3.018 4.289 2.673
Ga 3.018 2.164 6.727
Ga 3.018 2.164 9.320
Ga 3.018 6.415 6.727
Ga 3.018 6.415 9.320
Ga 3.018 4.289 13.374
Ge 3.018 4.289 5.296
Ge 3.018 4.289 10.752
```

Summary:
- Space-group type: Fmmm (69)
- E: -0.229 Ry/atom
- Formation energy: -0.196 eV/atom

---

5.
Entry from Alexandria: TaFe2Ag after structural relaxation (PBE).

```
4
Lattice="2.765 0.000 0.000 0.000 3.894 0.000 -0.724 0.000 5.490" Properties=species:S:1:pos:R:3 pbc="T T T"
Ta 0.000 0.000 0.000
Fe -0.097 0.000 3.088
Fe 0.860 1.947 4.226
Ag 1.364 1.947 1.645
```

Summary:
- Space-group type: Pm (6)
- E: -0.561 Ry/atom
- Energy relative to the lowest polymorph listed for this composition: 0.297 eV per formula unit
- Formation energy: 0.271 eV/atom

---

6.
Entry from Alexandria: FeTeAs2 after structural relaxation (PBE).

```
8
Lattice="6.950 0.000 0.000 0.000 3.040 0.000 -2.213 0.000 8.050" Properties=species:S:1:pos:R:3 pbc="T T T"
Fe 0.000 0.000 0.000
Fe 3.475 1.520 0.000
Te -1.107 1.520 4.025
Te 2.368 0.000 4.025
As -0.818 1.520 6.854
As 2.080 0.000 1.196
As 2.657 0.000 6.854
As 5.555 1.520 1.196
```

Summary:
- Space-group type: C2/m (12)
- E: -0.379 Ry/atom